Record 1
Here is a relaxed structure of Mg2GaRu from Alexandria. Energies are from PBE-GGA.

Cell lengths 4.484, 4.484, 6.374 Å; angles 90.00, 90.00, 90.00 degrees
Space group I-4m2 (No. 119)
Unique sites:
Mg (0.000, 0.000, 0.000) (multiplicity 2)
Mg (0.000, 0.500, 0.250) (multiplicity 2)
Ga (0.000, 0.500, 0.750) (multiplicity 2)
Ru (0.000, 0.000, 0.500) (multiplicity 2)

Values from the calculation:
energy relative to the elements = -0.1137 eV/atom
uncorrected energy = -3.99 eV/atom
spin magnetization = 0.000 μB per atom

---

Record 2
Here is a relaxed structure of Mg2GaRu from Alexandria. Energies are from PBE-GGA.

Cell lengths 3.978, 3.978, 4.086 Å; angles 90.00, 90.00, 90.00 degrees
Space group P4/mmm (No. 123)
Unique sites:
Mg (0.000, 0.500, 0.000) (multiplicity 2)
Ga (0.000, 0.000, 0.500) (multiplicity 1)
Ru (0.500, 0.500, 0.500) (multiplicity 1)

Values from the calculation:
energy relative to the elements = -0.1070 eV/atom
uncorrected energy = -3.98 eV/atom
spin magnetization = 0.000 μB per atom